Fe2Ge5Pd12 (PBE, optimized geometry); calculated formation energy = -0.227 eV per atom; density of states at the Fermi level = 10.2 states/eV per cell; DFT total energy = -5.61 eV per atom
1.0
5.654 0.000 0.000
-2.827 6.683 0.748
0.000 -1.552 8.165
Fe Ge Pd
2 5 12
Direct
0.700 0.000 0.000
0.300 0.000 0.000
0.291 0.581 0.610
0.350 0.700 0.120
0.000 0.000 0.500
0.650 0.300 0.880
0.709 0.419 0.390
0.023 0.046 0.219
0.060 0.621 0.865
0.561 0.621 0.865
0.114 0.719 0.385
0.605 0.719 0.385
0.467 0.935 0.697
0.533 0.065 0.303
0.886 0.281 0.615
0.395 0.281 0.615
0.940 0.379 0.135
0.439 0.379 0.135
0.977 0.954 0.781